# 1
# Na2PmBO4

A relaxed Na2PmBO4 crystal (PBE, the Alexandria database).

Values from the calculation:
Energy relative to the elements, uncorrected ... -14.5 eV per formula unit
Total DFT energy (no corrections) ... -6.05 eV per atom
Symmetry ... Fddd
Mass density ... 2.5 g/cm3
DOS(E_F) ... 0.00 states/eV/cell

Lattice parameters (Å, degrees): 13.332 12.463 6.025 84.69 68.56 26.74
Positions (direct):
Na  0.087  0.087  0.663
Na  0.337  0.337  0.913
Na  0.663  0.663  0.087
Na  0.913  0.913  0.337
Pm  0.125  0.125  0.125
Pm  0.875  0.875  0.875
B  0.375  0.375  0.375
B  0.625  0.625  0.625
O  0.090  0.592  0.482
O  0.336  0.482  0.592
O  0.408  0.910  0.664
O  0.482  0.336  0.090
O  0.518  0.664  0.910
O  0.592  0.090  0.336
O  0.664  0.518  0.408
O  0.910  0.408  0.518



# 2
# AcLa6YEr2

A relaxed AcLa6YEr2 crystal (PBE, the Alexandria database).

Values from the calculation:
Total DFT energy (no corrections) ... -4.82 eV per atom
Symmetry ... C2/c
Mass density ... 6.8 g/cm3
Formation energy from the elements ... 1.1 eV per formula unit
DOS(E_F) ... 30.76 states/eV/cell

Lattice parameters (Å, degrees): 9.107 9.107 9.956 93.80 93.80 117.39
Positions (direct):
Ac  0.028  0.972  0.750
Ac  0.972  0.028  0.250
La  0.006  0.551  0.685
La  0.113  0.755  0.052
La  0.245  0.887  0.448
La  0.295  0.511  0.878
La  0.449  0.994  0.815
La  0.489  0.705  0.622
La  0.511  0.295  0.378
La  0.551  0.006  0.185
La  0.705  0.489  0.122
La  0.755  0.113  0.552
La  0.887  0.245  0.948
La  0.994  0.449  0.315
Y  0.411  0.589  0.250
Y  0.589  0.411  0.750
Er  0.205  0.304  0.546
Er  0.304  0.205  0.046
Er  0.696  0.795  0.954
Er  0.795  0.696  0.454



# 3
# PmYGeS

A relaxed PmYGeS crystal (PBE, the Alexandria database).

Values from the calculation:
Energy relative to the elements, uncorrected ... -5.8 eV per formula unit
Total DFT energy (no corrections) ... -6.45 eV per atom
Symmetry ... R3m
Mass density ... 5.7 g/cm3
DOS(E_F) ... 4.38 states/eV/cell

Lattice parameters (Å, degrees): 4.106 4.106 20.228 90.00 90.00 120.00
Positions (direct):
Pm  0.000  0.000  0.000
Pm  0.333  0.667  0.667
Pm  0.667  0.333  0.333
Y  0.000  0.000  0.500
Y  0.333  0.667  0.167
Y  0.667  0.333  0.834
Ge  0.000  0.000  0.752
Ge  0.333  0.667  0.419
Ge  0.667  0.333  0.085
S  0.000  0.000  0.248
S  0.333  0.667  0.914
S  0.667  0.333  0.581



# 4
# BaNa3Mo

A relaxed BaNa3Mo crystal (PBE, the Alexandria database).

Values from the calculation:
Total DFT energy (no corrections) ... -1.68 eV per atom
Symmetry ... Pm-3m
Mass density ... 1.7 g/cm3
Formation energy from the elements ... 8.3 eV per formula unit
Offset from the most stable computed form ... 0.697 eV per atom
DOS(E_F) ... 5.02 states/eV/cell

Lattice parameters (Å, degrees): 6.633 6.633 6.633 90.00 90.00 90.00
Positions (direct):
Ba  0.000  0.000  0.000
Na  0.000  0.000  0.500
Na  0.000  0.500  0.000
Na  0.500  0.000  0.000
Mo  0.500  0.500  0.500



# 5
# Zr3CdC

A relaxed Zr3CdC crystal (PBE, the Alexandria database).

Values from the calculation:
Total DFT energy (no corrections) ... -6.95 eV per atom
Symmetry ... Cmcm
Mass density ... 6.1 g/cm3
Formation energy from the elements ... 1.1 eV per formula unit
Offset from the most stable computed form ... 0.641 eV per atom
DOS(E_F) ... 7.32 states/eV/cell

Lattice parameters (Å, degrees): 6.315 6.315 6.230 90.00 90.00 119.26
Positions (direct):
Zr  0.000  0.000  0.000
Zr  0.000  0.000  0.500
Zr  0.007  0.485  0.250
Zr  0.485  0.007  0.750
Zr  0.515  0.993  0.250
Zr  0.993  0.515  0.750
Cd  0.488  0.512  0.750
Cd  0.512  0.488  0.250
C  0.142  0.858  0.250
C  0.858  0.142  0.750



# 6
# AcYMgPt

A relaxed AcYMgPt crystal (PBE, the Alexandria database).

Values from the calculation:
Total DFT energy (no corrections) ... -5.01 eV per atom
Symmetry ... F-43m
Mass density ... 8.3 g/cm3
Formation energy from the elements ... -1.8 eV per formula unit
DOS(E_F) ... 13.60 states/eV/cell

Lattice parameters (Å, degrees): 7.549 7.549 7.549 90.00 90.00 90.00
Positions (direct):
Ac  0.000  0.000  0.000
Ac  0.000  0.500  0.500
Ac  0.500  0.000  0.500
Ac  0.500  0.500  0.000
Y  0.000  0.000  0.500
Y  0.000  0.500  0.000
Y  0.500  0.000  0.000
Y  0.500  0.500  0.500
Mg  0.250  0.250  0.750
Mg  0.250  0.750  0.250
Mg  0.750  0.250  0.250
Mg  0.750  0.750  0.750
Pt  0.250  0.250  0.250
Pt  0.250  0.750  0.750
Pt  0.750  0.250  0.750
Pt  0.750  0.750  0.250



# 7
# ErTmAu2O8

A relaxed ErTmAu2O8 crystal (PBE, the Alexandria database).

Values from the calculation:
Energy relative to the elements, uncorrected ... -13.7 eV per formula unit
Total DFT energy (no corrections) ... -5.74 eV per atom
Symmetry ... I-4m2
Mass density ... 9.8 g/cm3
DOS(E_F) ... 7.00 states/eV/cell

Lattice parameters (Å, degrees): 6.442 6.442 6.442 131.76 131.76 70.61
Positions (direct):
Er  0.000  0.000  0.000
Tm  0.750  0.250  0.500
Au  0.250  0.750  0.500
Au  0.500  0.500  0.000
O  0.138  0.126  0.514
O  0.138  0.624  0.012
O  0.376  0.388  0.514
O  0.376  0.862  0.988
O  0.612  0.126  0.988
O  0.612  0.624  0.486
O  0.874  0.388  0.012
O  0.874  0.862  0.486



# 8
# TbHo12Al3

A relaxed TbHo12Al3 crystal (PBE, the Alexandria database).

Values from the calculation:
Total DFT energy (no corrections) ... -4.55 eV per atom
Symmetry ... P4/mmm
Mass density ... 8.3 g/cm3
Formation energy from the elements ... -2.1 eV per formula unit
DOS(E_F) ... 16.40 states/eV/cell

Lattice parameters (Å, degrees): 4.773 4.773 19.447 90.00 90.00 90.00
Positions (direct):
Tb  0.000  0.000  0.000
Ho  0.000  0.500  0.134
Ho  0.000  0.500  0.378
Ho  0.000  0.500  0.622
Ho  0.000  0.500  0.866
Ho  0.500  0.000  0.134
Ho  0.500  0.000  0.378
Ho  0.500  0.000  0.622
Ho  0.500  0.000  0.866
Ho  0.500  0.500  0.000
Ho  0.500  0.500  0.257
Ho  0.500  0.500  0.500
Ho  0.500  0.500  0.743
Al  0.000  0.000  0.258
Al  0.000  0.000  0.500
Al  0.000  0.000  0.742



# 9
# MnGeS2

A relaxed MnGeS2 crystal (PBE, the Alexandria database).

Values from the calculation:
Energy relative to the elements, uncorrected ... -1.0 eV per formula unit
Total DFT energy (no corrections) ... -5.76 eV per atom
Symmetry ... R3m
Mass density ... 3.2 g/cm3
Offset from the most stable computed form ... 0.066 eV per atom
DOS(E_F) ... 1.07 states/eV/cell

Lattice parameters (Å, degrees): 3.939 3.939 21.989 90.00 90.00 120.00
Positions (direct):
Mn  0.000  0.000  0.000
Mn  0.333  0.667  0.667
Mn  0.667  0.333  0.333
Ge  0.000  0.000  0.499
Ge  0.333  0.667  0.166
Ge  0.667  0.333  0.832
S  0.000  0.000  0.111
S  0.000  0.000  0.632
S  0.333  0.667  0.299
S  0.333  0.667  0.778
S  0.667  0.333  0.444
S  0.667  0.333  0.965



# 10
# La8N6F

A relaxed La8N6F crystal (PBE, the Alexandria database).

Values from the calculation:
Energy relative to the elements, uncorrected ... -18.7 eV per formula unit
Total DFT energy (no corrections) ... -7.33 eV per atom
Symmetry ... P-3
Mass density ... 6.4 g/cm3
DOS(E_F) ... 10.55 states/eV/cell

Lattice parameters (Å, degrees): 9.873 9.873 3.759 90.00 90.00 120.00
Positions (direct):
La  0.034  0.674  0.246
La  0.326  0.360  0.246
La  0.333  0.667  0.748
La  0.360  0.034  0.754
La  0.640  0.966  0.246
La  0.667  0.333  0.252
La  0.674  0.640  0.754
La  0.966  0.326  0.754
N  0.132  0.478  0.252
N  0.346  0.868  0.252
N  0.478  0.346  0.748
N  0.522  0.654  0.252
N  0.654  0.132  0.748
N  0.868  0.522  0.748
F  0.000  0.000  0.000



# 11
# Rb2CePbSe4

A relaxed Rb2CePbSe4 crystal (PBE, the Alexandria database).

Values from the calculation:
Energy relative to the elements, uncorrected ... -10.2 eV per formula unit
Total DFT energy (no corrections) ... -4.47 eV per atom
Symmetry ... P2/m
Mass density ... 5.2 g/cm3

Lattice parameters (Å, degrees): 7.685 4.417 8.306 90.00 107.56 90.00
Positions (direct):
Rb  0.000  0.000  0.000
Rb  0.500  0.500  0.000
Ce  0.000  0.500  0.500
Pb  0.500  0.000  0.500
Se  0.215  0.000  0.696
Se  0.242  0.500  0.299
Se  0.758  0.500  0.701
Se  0.785  0.000  0.304



# 12
# Y3ErAl2

A relaxed Y3ErAl2 crystal (PBE, the Alexandria database).

Values from the calculation:
Total DFT energy (no corrections) ... -5.55 eV per atom
Symmetry ... Pmc2_1
Mass density ... 5.1 g/cm3
Formation energy from the elements ... -1.9 eV per formula unit
DOS(E_F) ... 9.90 states/eV/cell

Lattice parameters (Å, degrees): 5.103 9.461 6.556 90.00 90.00 90.00
Positions (direct):
Y  0.000  0.041  0.000
Y  0.000  0.325  0.339
Y  0.000  0.675  0.839
Y  0.000  0.959  0.500
Y  0.500  0.178  0.714
Y  0.500  0.822  0.214
Er  0.500  0.459  0.053
Er  0.500  0.541  0.553
Al  0.000  0.353  0.820
Al  0.000  0.647  0.320
Al  0.500  0.147  0.234
Al  0.500  0.853  0.734



no.,volume (Å³ per atom)
1,21.7
2,36.4
3,24.6
4,58.4
5,21.7
6,26.9
7,12.1
8,27.7
9,24.6
10,21.2
11,33.6
12,26.4